[1]
Material: AlCo2Si
Method: DFT, GGA-PBE
State: relaxed

Properties
Raw formation energy in eV/atom: -0.0546
Magnetic moment in Bohr magnetons per cell: 5.63
Total DFT energy (no corrections) in eV per atom: -5.90

Lattice parameters (Å, degrees): 2.6967 2.6967 23.4788 90.00 90.00 120.00
Space group R3m (No. 160, hexagonal axes)
Asymmetric unit:
Al  0.0000  0.0000  0.0000 [3 per cell]
Co  0.0000  0.0000  0.2526 [3 per cell]
Co  0.0000  0.0000  0.5026 [3 per cell]
Si  0.0000  0.0000  0.7627 [3 per cell]

[2]
Material: NdRhS2O8
Method: DFT, GGA-PBE
State: relaxed

Properties
Raw formation energy in eV/atom: -1.5255
Magnetic moment in Bohr magnetons per cell: 2.00
Total DFT energy (no corrections) in eV per atom: -6.53

Lattice parameters (Å, degrees): 5.2190 5.2190 7.4034 90.00 90.00 120.00
Space group P-3m1 (No. 164)
Asymmetric unit:
Nd  0.0000  0.0000  0.0000 [1 per cell]
Rh  0.0000  0.0000  0.5000 [1 per cell]
S  0.3333  0.6667  0.1969 [2 per cell]
O  0.1766  0.3532  0.2586 [6 per cell]
O  0.3333  0.6667  0.9940 [2 per cell]

[3]
Material: Mg2FeGe
Method: DFT, GGA-PBE
State: relaxed

Properties
ΔH_f (0 K) in eV/atom: 0.37
Magnetic moment in Bohr magnetons per cell: 3.71
Total DFT energy (no corrections) in eV per atom: -3.69

Lattice parameters (Å, degrees): 8.812 8.812 4.509 90.00 90.00 90.00
Space group I-42d (No. 122)
Asymmetric unit:
Mg  0.119  0.250  0.125 [8 per cell]
Fe  0.000  0.000  0.000 [4 per cell]
Ge  0.000  0.000  0.500 [4 per cell]

[4]
Material: Tb2PuSc3Se6
Method: DFT, GGA-PBE
State: relaxed

Properties
Raw formation energy in eV/atom: -1.6532
Magnetic moment in Bohr magnetons per cell: 11.98
Total DFT energy (no corrections) in eV per atom: -6.94

Lattice parameters (Å, degrees): 17.432 3.968 8.023 90.00 103.67 90.00
Space group C2/m (No. 12)
Asymmetric unit:
Tb  0.164  0.000  0.331 [4 per cell]
Pu  0.000  0.500  0.000 [2 per cell]
Sc  0.000  0.500  0.500 [2 per cell]
Sc  0.165  0.000  0.837 [4 per cell]
Se  0.004  0.000  0.738 [4 per cell]
Se  0.164  0.500  0.594 [4 per cell]
Se  0.172  0.500  0.076 [4 per cell]

[5]
Material: Zr5FeOs4
Method: DFT, GGA-PBE
State: relaxed

Properties
ΔH_f (0 K) in eV/atom: -0.46
Magnetic moment in Bohr magnetons per cell: 0.30
Total DFT energy (no corrections) in eV per atom: -10.07

Lattice parameters (Å, degrees): 3.270 3.270 16.341 90.00 90.00 90.00
Space group P4/mmm (No. 123)
Asymmetric unit:
Zr  0.000  0.000  0.000 [1 per cell]
Zr  0.000  0.000  0.203 [2 per cell]
Zr  0.000  0.000  0.405 [2 per cell]
Fe  0.500  0.500  0.500 [1 per cell]
Os  0.500  0.500  0.101 [2 per cell]
Os  0.500  0.500  0.304 [2 per cell]

[6]
Material: LaTlGe2O6
Method: DFT, GGA-PBE
State: relaxed

Properties
Raw formation energy in eV/atom: -1.9483
Magnetic moment in Bohr magnetons per cell: 0.00
Total DFT energy (no corrections) in eV per atom: -6.58

Lattice parameters (Å, degrees): 8.325 11.894 7.084 90.00 101.24 90.00
Space group C2/c (No. 15)
Asymmetric unit:
La  0.000  0.102  0.250 [4 per cell]
Tl  0.000  0.461  0.750 [4 per cell]
Ge  0.158  0.170  0.861 [8 per cell]
O  0.053  0.175  0.594 [8 per cell]
O  0.219  0.028  0.883 [8 per cell]
O  0.221  0.205  0.150 [8 per cell]

[7]
Material: Na4TlIn3
Method: DFT, GGA-PBE
State: relaxed

Properties
ΔH_f (0 K) in eV/atom: -0.08
Magnetic moment in Bohr magnetons per cell: 0.00
Total DFT energy (no corrections) in eV per atom: -2.07

Lattice parameters (Å, degrees): 14.975 5.881 5.471 90.00 111.31 90.00
Space group C2/m (No. 12)
Asymmetric unit:
Na  0.123  0.000  0.124 [4 per cell]
Na  0.249  0.500  0.249 [4 per cell]
Tl  0.000  0.000  0.500 [2 per cell]
In  0.000  0.500  0.000 [2 per cell]
In  0.116  0.500  0.617 [4 per cell]

[8]
Material: HfTa2Ni2
Method: DFT, GGA-PBE
State: relaxed

Properties
Energy relative to the lowest polymorph listed for this composition in meV per atom: 392
ΔH_f (0 K) in eV/atom: 0.25
Magnetic moment in Bohr magnetons per cell: 0.00
Total DFT energy (no corrections) in eV per atom: -8.80

Lattice parameters (Å, degrees): 3.530 3.530 13.544 90.00 90.00 90.00
Space group I4/mmm (No. 139)
Asymmetric unit:
Hf  0.000  0.000  0.000 [2 per cell]
Ta  0.000  0.000  0.388 [4 per cell]
Ni  0.000  0.500  0.250 [4 per cell]

[9]
Material: Tb8Te4P3Pt
Method: DFT, GGA-PBE
State: relaxed

Properties
Raw formation energy in eV/atom: -1.4637
Magnetic moment in Bohr magnetons per cell: 0.00
Total DFT energy (no corrections) in eV per atom: -5.96

Lattice parameters (Å, degrees): 8.3498 8.3498 21.1524 90.00 90.00 120.00
Space group R-3m (No. 166, hexagonal axes)
Asymmetric unit:
Tb  0.0000  0.0000  0.2369 [6 per cell]
Tb  0.0012  0.5006  0.7622 [18 per cell]
Te  0.0000  0.0000  0.0000 [3 per cell]
Te  0.0000  0.5000  0.0000 [9 per cell]
P  0.0000  0.5000  0.5000 [9 per cell]
Pt  0.0000  0.0000  0.5000 [3 per cell]

[10]
Material: Al2IrOs
Method: DFT, GGA-PBE
State: relaxed

Properties
Energy relative to the lowest polymorph listed for this composition in meV per atom: 764
ΔH_f (0 K) in eV/atom: 0.06
Magnetic moment in Bohr magnetons per cell: 0.00
Total DFT energy (no corrections) in eV per atom: -6.84

Lattice parameters (Å, degrees): 2.844 4.759 8.813 90.00 90.00 90.00
Space group Cmm2 (No. 35)
Asymmetric unit:
Al  0.000  0.000  0.000 [2 per cell]
Al  0.000  0.500  0.266 [2 per cell]
Ir  0.000  0.000  0.497 [2 per cell]
Os  0.000  0.500  0.766 [2 per cell]

[11]
Material: CsKCuCl4
Method: DFT, GGA-PBE
State: relaxed

Properties
Raw formation energy in eV/atom: -1.3517
Magnetic moment in Bohr magnetons per cell: 2.03
Total DFT energy (no corrections) in eV per atom: -3.27

Lattice parameters (Å, degrees): 6.303 7.608 9.599 90.00 102.48 90.00
Space group P2_1/m (No. 11)
Asymmetric unit:
Cs  0.231  0.250  0.411 [2 per cell]
K  0.325  0.750  0.035 [2 per cell]
Cu  0.118  0.250  0.794 [2 per cell]
Cl  0.202  0.250  0.036 [2 per cell]
Cl  0.208  0.750  0.359 [2 per cell]
Cl  0.256  0.512  0.751 [4 per cell]

[12]
Material: TaCr2Ru
Method: DFT, GGA-PBE
State: relaxed

Properties
Energy relative to the lowest polymorph listed for this composition in meV per atom: 0
ΔH_f (0 K) in eV/atom: -0.06
Magnetic moment in Bohr magnetons per cell: 0.80
Total DFT energy (no corrections) in eV per atom: -10.15

Lattice parameters (Å, degrees): 3.036 3.036 6.128 90.00 90.00 90.00
Space group P4mm (No. 99)
Asymmetric unit:
Ta  0.000  0.000  0.000 [1 per cell]
Cr  0.000  0.000  0.476 [1 per cell]
Cr  0.500  0.500  0.264 [1 per cell]
Ru  0.500  0.500  0.742 [1 per cell]